# Co4OsRu

Co4OsRu after structural relaxation (PBEsol, the Alexandria database).

Cell: 4.5409 4.5409 4.5409 Å, 60.00 60.00 60.00°
Sites, in units of the cell vectors:
Co 0.1252 0.1252 0.1252
Co 0.1252 0.1252 0.6245
Co 0.1252 0.6245 0.1252
Co 0.6245 0.1252 0.1252
Os 0.7500 0.7500 0.7500
Ru 0.5000 0.5000 0.5000

Properties
As for the crystal system: cubic. The symmetry is F-43m (216). The value obtained for the magnetization is 0.7 μB per cell. The formation energy from the elements is 0.1924 eV per atom.


# Co2OsRu

Co2OsRu after structural relaxation (PBEsol, the Alexandria database).

Cell: 3.6382 3.6382 3.5839 Å, 90.00 90.00 90.00°
Sites, in units of the cell vectors:
Co 0.0000 0.5000 0.0000
Co 0.5000 0.0000 0.0000
Os 0.0000 0.0000 0.5000
Ru 0.5000 0.5000 0.5000

Properties
As for the crystal system: tetragonal. The symmetry is P4/mmm (123). The value obtained for the magnetization is 1.0 μB per cell. The formation energy from the elements is 0.1647 eV per atom.


# Co3OsS

Co3OsS after structural relaxation (PBEsol, the Alexandria database).

Cell: 3.9944 3.9944 3.9944 Å, 90.00 90.00 90.00°
Sites, in units of the cell vectors:
Co 0.0000 0.0000 0.5000
Co 0.0000 0.5000 0.0000
Co 0.5000 0.0000 0.0000
Os 0.5000 0.5000 0.5000
S 0.0000 0.0000 0.0000

Properties
As for the crystal system: cubic. The symmetry is Pm-3m (221). The value obtained for the raw formation energy is 347.1 kJ/mol of formula units. The value obtained for the magnetization is 4.3 μB per cell.


# Co3SbOs

Co3SbOs after structural relaxation (PBEsol, the Alexandria database).

Cell: 4.4357 4.4357 4.4357 Å, 90.00 90.00 90.00°
Sites, in units of the cell vectors:
Co 0.0000 0.0000 0.5000
Co 0.0000 0.5000 0.0000
Co 0.5000 0.0000 0.0000
Sb 0.0000 0.0000 0.0000
Os 0.5000 0.5000 0.5000

Properties
As for the crystal system: cubic. The symmetry is Pm-3m (221). The value obtained for the raw formation energy is 971.9 kJ/mol of formula units. The value obtained for the magnetization is 6.3 μB per cell.


# CoSb2Os

CoSb2Os after structural relaxation (PBEsol, the Alexandria database).

Cell: 4.3479 4.3479 5.4040 Å, 101.83 101.83 42.81°
Sites, in units of the cell vectors:
Co 0.0000 0.0000 0.0000
Sb 0.2509 0.2509 0.7553
Sb 0.7491 0.7491 0.2447
Os 0.5000 0.5000 0.5000

Properties
As for the crystal system: monoclinic. The symmetry is C2/m (12). The value obtained for the raw formation energy is 162.5 kJ/mol of formula units. The value obtained for the magnetization is 0.6 μB per cell. For the energy relative to the lowest polymorph listed for this composition, the calculation gives 0.0446 eV/atom.


# CoSb2Os

CoSb2Os after structural relaxation (PBEsol, the Alexandria database).

Cell: 8.0268 8.0268 8.0268 Å, 22.62 22.62 22.62°
Sites, in units of the cell vectors:
Co 0.0000 0.0000 0.0000
Sb 0.2542 0.2542 0.2542
Sb 0.7458 0.7458 0.7458
Os 0.5000 0.5000 0.5000

Properties
As for the crystal system: trigonal. The symmetry is R-3m (166). The value obtained for the raw formation energy is 145.2 kJ/mol of formula units. The value obtained for the magnetization is 0.6 μB per cell. For the energy relative to the lowest polymorph listed for this composition, the calculation gives 0.0000 eV/atom.


# CoSb2Os

CoSb2Os after structural relaxation (PBEsol, the Alexandria database).

Cell: 4.5559 4.5559 4.5559 Å, 60.00 60.00 60.00°
Sites, in units of the cell vectors:
Co 0.0000 0.0000 0.0000
Sb 0.2500 0.2500 0.2500
Sb 0.7500 0.7500 0.7500
Os 0.5000 0.5000 0.5000

Properties
As for the crystal system: cubic. The symmetry is Fm-3m (225). The value obtained for the raw formation energy is 161.9 kJ/mol of formula units. The value obtained for the magnetization is 1.9 μB per cell. For the energy relative to the lowest polymorph listed for this composition, the calculation gives 0.0431 eV/atom.


# CoSbTe2Os

CoSbTe2Os after structural relaxation (PBEsol, the Alexandria database).

Cell: 5.2082 5.2082 4.9572 Å, 90.00 90.00 90.00°
Sites, in units of the cell vectors:
Co 0.0000 0.0000 0.0000
Sb 0.5000 0.5000 0.0000
Te 0.0000 0.5000 0.5000
Te 0.5000 0.0000 0.5000
Os 0.5000 0.5000 0.5000

Properties
As for the crystal system: tetragonal. The symmetry is P4/mmm (123). The value obtained for the raw formation energy is 634.8 kJ/mol of formula units. The value obtained for the magnetization is 1.9 μB per cell.